! PBE Ca2ZrAs, relaxed; values from VASP
&SYSTEM
  ibrav = 0, nat = 4, ntyp = 3
/
ATOMIC_SPECIES
Ca 40.08 Ca.upf
Zr 91.22 Zr.upf
As 74.92 As.upf
CELL_PARAMETERS angstrom
-0.516 -0.095 3.618
-0.475 -3.621 -0.163
8.449 -1.160 1.176
ATOMIC_POSITIONS crystal
Ca 0.000 0.000 0.937
Ca 0.500 0.500 0.299
Zr 0.000 0.000 0.572
As 0.500 0.500 0.692
! Crystal system: tetragonal
! Calculated density: 3.6 g/cm³
! Total energy: -18.8 eV/cell
! Space-group type: P4mm (99)

=====

! PBE Ca2ZrAs, relaxed; values from VASP
&SYSTEM
  ibrav = 0, nat = 4, ntyp = 3
/
ATOMIC_SPECIES
Ca 40.08 Ca.upf
As 74.92 As.upf
Zr 91.22 Zr.upf
CELL_PARAMETERS angstrom
-3.052 -3.389 1.238
3.438 -3.035 0.168
0.675 1.009 4.426
ATOMIC_POSITIONS crystal
Ca 0.000 0.000 0.000
Ca 0.000 0.500 0.500
As 0.500 0.000 0.500
Zr 0.500 0.500 0.000
! Crystal system: tetragonal
! Calculated density: 4.1 g/cm³
! Total energy: -17.7 eV/cell
! Space-group type: P4/mmm (123)

=====

! PBE Ca2ZrAs, relaxed; values from VASP
&SYSTEM
  ibrav = 0, nat = 8, ntyp = 3
/
ATOMIC_SPECIES
As 74.92 As.upf
Zr 91.22 Zr.upf
Ca 40.08 Ca.upf
CELL_PARAMETERS angstrom
-0.426 6.510 7.391
1.841 -7.214 6.461
3.321 0.096 6.682
ATOMIC_POSITIONS crystal
As 0.500 0.500 0.000
As 0.250 0.750 0.500
Zr 0.750 0.250 0.500
Zr 0.000 0.000 0.000
Ca 0.512 0.125 0.250
Ca 0.238 0.625 0.250
Ca 0.875 0.762 0.750
Ca 0.375 0.488 0.750
! Crystal system: tetragonal
! Calculated density: 3.2 g/cm³
! Total energy: -35.1 eV/cell
! Space-group type: I-42d (122)

=====

! PBE CaZr2As, relaxed; values from VASP
&SYSTEM
  ibrav = 0, nat = 4, ntyp = 3
/
ATOMIC_SPECIES
Zr 91.22 Zr.upf
As 74.92 As.upf
Ca 40.08 Ca.upf
CELL_PARAMETERS angstrom
-1.381 -0.113 9.216
2.214 -0.906 9.008
1.089 2.604 8.882
ATOMIC_POSITIONS crystal
Zr 0.526 0.526 0.526
Zr 0.974 0.974 0.974
As 0.250 0.250 0.250
Ca 0.750 0.750 0.750
! Crystal system: trigonal
! Calculated density: 4.6 g/cm³
! Total energy: -25.0 eV/cell
! Space-group type: R-3m (166)

=====

! PBE CaZr2As, relaxed; values from VASP
&SYSTEM
  ibrav = 0, nat = 4, ntyp = 3
/
ATOMIC_SPECIES
Zr 91.22 Zr.upf
As 74.92 As.upf
Ca 40.08 Ca.upf
CELL_PARAMETERS angstrom
-1.323 1.051 4.728
-2.669 -3.320 2.657
2.142 -2.466 3.813
ATOMIC_POSITIONS crystal
Zr 0.000 0.000 0.000
Zr 0.750 0.750 0.750
As 0.500 0.500 0.500
Ca 0.250 0.250 0.250
! Crystal system: cubic
! Calculated density: 5.5 g/cm³
! Total energy: -23.5 eV/cell
! Space-group type: F-43m (216)

=====

! PBE CaZr2As, relaxed; values from VASP
&SYSTEM
  ibrav = 0, nat = 4, ntyp = 3
/
ATOMIC_SPECIES
Zr 91.22 Zr.upf
As 74.92 As.upf
Ca 40.08 Ca.upf
CELL_PARAMETERS angstrom
-0.406 -4.200 -0.193
3.875 -0.451 1.651
-1.966 -0.022 4.608
ATOMIC_POSITIONS crystal
Zr 0.000 0.000 0.000
Zr 0.500 0.500 0.000
As 0.500 0.000 0.500
Ca 0.000 0.500 0.500
! Crystal system: orthorhombic
! Calculated density: 5.5 g/cm³
! Total energy: -24.5 eV/cell
! Space-group type: Pmmm (47)

=====

! PBE CaZr2As, relaxed; values from VASP
&SYSTEM
  ibrav = 0, nat = 4, ntyp = 3
/
ATOMIC_SPECIES
Zr 91.22 Zr.upf
Ca 40.08 Ca.upf
As 74.92 As.upf
CELL_PARAMETERS angstrom
-4.105 -0.906 -1.078
0.693 -3.759 0.519
-1.250 -1.390 5.926
ATOMIC_POSITIONS crystal
Zr 0.000 0.008 0.109
Zr 0.500 0.453 0.219
Ca 0.500 0.725 0.676
As 0.000 0.314 0.496
! Crystal system: orthorhombic
! Calculated density: 5.0 g/cm³
! Total energy: -25.2 eV/cell
! Space-group type: Amm2 (38)

=====

! PBE CaZr2As, relaxed; values from VASP
&SYSTEM
  ibrav = 0, nat = 4, ntyp = 3
/
ATOMIC_SPECIES
Zr 91.22 Zr.upf
As 74.92 As.upf
Ca 40.08 Ca.upf
CELL_PARAMETERS angstrom
3.544 0.000 0.000
0.000 3.544 0.000
0.000 0.000 7.851
ATOMIC_POSITIONS crystal
Zr 0.500 0.500 0.289
Zr 0.000 0.000 0.053
As 0.000 0.000 0.447
Ca 0.500 0.500 0.712
! Crystal system: tetragonal
! Calculated density: 5.0 g/cm³
! Total energy: -25.5 eV/cell
! Space-group type: P4mm (99)

=====

| no. | formation energy from the elements (eV/atom) | DOS(E_F) (states/eV/cell) |
| --- | --- | --- |
| 1 | -0.412 | 3.1 |
| 2 | -0.132 | 2.9 |
| 3 | -0.082 | 7.6 |
| 4 | -0.317 | 4.1 |
| 5 | 0.052 | 4.4 |
| 6 | -0.176 | 4.5 |
| 7 | -0.365 | 3.8 |
| 8 | -0.450 | 2.8 |